Entry 1:
A plane-wave DFT calculation with PBE was carried out for a relaxed HoTm2ScTe6 crystal.

Summary:
**Formation energy (no corrections)**: -1296 meV/atom

abc: 7.537 7.537 8.153
angles: 62.47 62.47 60.00
Positions (direct):
Ho (0.825, 0.825, 0.526)
Tm (0.509, 0.509, 0.472)
Tm (0.008, 0.008, 0.977)
Sc (0.326, 0.326, 0.021)
Te (0.589, 0.233, 0.249)
Te (0.233, 0.929, 0.249)
Te (0.929, 0.589, 0.249)
Te (0.416, 0.724, 0.758)
Te (0.724, 0.102, 0.758)
Te (0.102, 0.416, 0.758)

---

Entry 2:
A plane-wave DFT calculation with PBE was carried out for a relaxed Pr2HoAgTe5 crystal.

Summary:
**DOS at the Fermi energy**: 0.15 states/eV per cell
**Formation energy (no corrections)**: -1196 meV/atom

abc: 4.408 9.760 13.327
angles: 90.00 90.00 103.05
Positions (direct):
Pr (0.874, 0.749, 0.805)
Pr (0.111, 0.222, 0.687)
Pr (0.126, 0.251, 0.305)
Pr (0.889, 0.778, 0.187)
Ho (0.808, 0.616, 0.509)
Ho (0.192, 0.384, 0.009)
Ag (0.569, 0.138, 0.960)
Ag (0.431, 0.862, 0.460)
Te (0.356, 0.711, 0.999)
Te (0.694, 0.389, 0.842)
Te (0.499, 0.997, 0.779)
Te (0.286, 0.572, 0.667)
Te (0.957, 0.913, 0.576)
Te (0.644, 0.289, 0.499)
Te (0.306, 0.611, 0.342)
Te (0.501, 0.003, 0.279)
Te (0.714, 0.428, 0.167)
Te (0.043, 0.087, 0.076)

---

Entry 3:
A plane-wave DFT calculation with PBE was carried out for a relaxed K2PuTe3 crystal.

Summary:
**DOS at the Fermi energy**: 20.13 states/eV per cell
**Formation energy (no corrections)**: -1006 meV/atom

abc: 8.116 8.116 8.583
angles: 99.21 99.21 120.07
Last column: magnetic moment on the atom in μB.
Positions (direct):
K (0.833, 0.167, 0.500)  -0.01
K (0.333, 0.667, 0.000)  -0.01
K (0.179, 0.821, 0.500)  -0.01
K (0.488, 0.512, 0.500)  -0.01
Pu (0.001, 0.999, 0.000)  4.92
Pu (0.666, 0.334, 0.000)  4.92
Te (0.631, 0.965, 0.791)  -0.17
Te (0.035, 0.369, 0.209)  -0.17
Te (0.891, 0.595, 0.788)  -0.19
Te (0.261, 0.224, 0.788)  -0.19
Te (0.405, 0.109, 0.212)  -0.19
Te (0.776, 0.739, 0.212)  -0.19

---

Entry 4:
A plane-wave DFT calculation with PBE was carried out for a relaxed Pr11Mg9Cd4 crystal.

Summary:
**DOS at the Fermi energy**: 22.84 states/eV per cell
**Electronic total energy**: -3.10 eV per atom

abc: 3.893 14.032 14.032
angles: 112.26 90.00 90.00
Positions (direct):
Pr (0.000, 0.589, 0.932)
Pr (0.000, 0.411, 0.068)
Pr (0.000, 0.932, 0.589)
Pr (0.000, 0.068, 0.411)
Pr (0.000, 0.652, 0.348)
Pr (0.000, 0.348, 0.652)
Pr (0.000, 0.832, 0.168)
Pr (0.000, 0.168, 0.832)
Pr (0.000, 0.000, 0.000)
Pr (0.000, 0.741, 0.741)
Pr (0.000, 0.259, 0.259)
Mg (0.500, 0.626, 0.142)
Mg (0.500, 0.374, 0.858)
Mg (0.500, 0.142, 0.626)
Mg (0.500, 0.858, 0.374)
Mg (0.500, 0.793, 0.954)
Mg (0.500, 0.207, 0.046)
Mg (0.500, 0.954, 0.793)
Mg (0.500, 0.046, 0.207)
Mg (0.500, 0.500, 0.500)
Cd (0.500, 0.550, 0.732)
Cd (0.500, 0.450, 0.268)
Cd (0.500, 0.732, 0.550)
Cd (0.500, 0.268, 0.450)